(1)
4
Lattice="-3.286 -1.172 -3.417 -2.014 -0.512 4.420 -1.755 2.056 0.112" Properties=species:S:1:pos:R:3 comment="Be2HgMo, optimized geometry, DFT PBE" e_form_kj_per_mol_fu=182 n_ef_per_ev_atom=0.303 e_tot_ry_per_atom=-0.3068 spacegroup="No. 12" pbc="T T T"
Be 0.000 0.000 0.000
Be -2.650 -0.842 0.501
Mo -1.885 0.772 2.266
Hg -2.521 0.442 -1.653

=====

(2)
7
Lattice="-2.880 -1.002 3.812 -3.681 -1.004 -3.045 -1.633 -6.464 0.193" Properties=species:S:1:pos:R:3 comment="Be2HgMo4, optimized geometry, DFT PBE" e_form_kj_per_mol_fu=1455 n_ef_per_ev_atom=1.346 e_tot_ry_per_atom=-0.3779 spacegroup="No. 139" pbc="T T T"
Be -5.179 -6.588 0.607
Be -3.015 -1.882 0.353
Mo -5.794 -4.549 0.678
Mo -2.400 -3.921 0.282
Mo -1.840 -0.502 -1.522
Mo -1.440 -0.501 1.906
Hg 0.000 0.000 0.000

=====

(3)
8
Lattice="-3.740 -3.767 3.639 -2.170 -2.956 -5.289 -0.895 -5.219 -0.631" Properties=species:S:1:pos:R:3 comment="Be2HgMo, optimized geometry, DFT PBE" e_form_kj_per_mol_fu=268 n_ef_per_ev_atom=0.335 e_tot_ry_per_atom=-0.2904 spacegroup="No. 122" pbc="T T T"
Be -2.838 -4.034 1.461
Be -2.042 -3.618 -3.014
Be -2.885 -6.431 -1.085
Be -5.846 -9.801 -1.925
Mo -2.955 -3.361 -0.825
Mo -3.010 -5.768 -3.373
Hg 0.000 0.000 0.000
Hg -3.795 -6.174 1.092

=====

(4)
4
Lattice="-5.475 -0.917 6.634 -3.864 -3.180 7.056 -3.066 -0.680 8.060" Properties=species:S:1:pos:R:3 comment="Be2HgMo, optimized geometry, DFT PBE" e_form_kj_per_mol_fu=245 n_ef_per_ev_atom=0.684 e_tot_ry_per_atom=-0.2948 spacegroup="No. 160" pbc="T T T"
Be -12.327 -4.748 21.613
Be -3.243 -1.249 5.686
Mo -9.165 -3.530 16.069
Hg -6.278 -2.418 11.007

=====

(5)
4
Lattice="-5.961 6.622 1.886 -7.110 4.531 3.444 -5.004 6.120 4.523" Properties=species:S:1:pos:R:3 comment="BeHgMo2, optimized geometry, DFT PBE" e_form_kj_per_mol_fu=226 n_ef_per_ev_atom=0.584 e_tot_ry_per_atom=-0.4290 relative_energy_ev_per_atom=0.280 spacegroup="No. 166" pbc="T T T"
Be -4.519 4.318 2.463
Mo -17.903 17.108 9.759
Mo -9.210 8.801 5.021
Hg -13.557 12.955 7.390

=====

(6)
4
Lattice="-1.069 2.758 3.803 -3.461 1.862 2.786 -0.469 -2.732 3.511" Properties=species:S:1:pos:R:3 comment="Be2HgMo, optimized geometry, DFT PBE" e_form_kj_per_mol_fu=141 n_ef_per_ev_atom=0.133 e_tot_ry_per_atom=-0.3147 spacegroup="No. 8" pbc="T T T"
Be -0.119 -0.016 0.295
Be -3.637 1.402 7.322
Mo -1.286 0.745 2.370
Hg -2.457 0.702 5.163

=====

(7)
4
Lattice="5.108 0.004 0.000 2.720 4.323 0.000 -3.914 -2.164 2.468" Properties=species:S:1:pos:R:3 comment="Be2HgMo, optimized geometry, DFT PBE" e_form_kj_per_mol_fu=172 n_ef_per_ev_atom=0.355 e_tot_ry_per_atom=-0.3088 spacegroup="No. 119" pbc="T T T"
Be 0.000 0.000 0.000
Be 1.360 2.162 1.234
Mo 2.554 0.002 1.234
Hg 3.914 2.164 0.000

=====

(8)
4
Lattice="-0.583 3.527 2.104 -0.771 -1.496 2.294 4.871 -0.585 2.329" Properties=species:S:1:pos:R:3 comment="BeHgMo2, optimized geometry, DFT PBE" e_form_kj_per_mol_fu=133 n_ef_per_ev_atom=0.390 e_tot_ry_per_atom=-0.4467 relative_energy_ev_per_atom=0.040 spacegroup="No. 6" pbc="T T T"
Be 1.774 -1.232 2.557
Mo 0.127 -0.057 0.131
Mo 0.831 1.260 2.207
Hg 2.836 0.435 4.144

=====

(9)
4
Lattice="3.642 0.000 0.000 0.000 2.860 -0.004 0.000 0.009 5.371" Properties=species:S:1:pos:R:3 comment="Be2HgMo, optimized geometry, DFT PBE" e_form_kj_per_mol_fu=109 n_ef_per_ev_atom=0.686 e_tot_ry_per_atom=-0.3207 spacegroup="No. 47" pbc="T T T"
Be 0.000 0.724 5.041
Be 0.000 0.720 3.013
Mo 1.821 2.152 4.025
Hg 1.821 0.717 1.342

=====

(10)
4
Lattice="-1.547 -3.796 -1.725 -4.332 -0.425 -0.911 -1.382 -0.122 -4.225" Properties=species:S:1:pos:R:3 comment="BeHgMo2, optimized geometry, DFT PBE" e_form_kj_per_mol_fu=292 n_ef_per_ev_atom=1.550 e_tot_ry_per_atom=-0.4165 relative_energy_ev_per_atom=0.450 spacegroup="No. 225" pbc="T T T"
Be 0.000 0.000 0.000
Mo -1.815 -1.086 -1.715
Mo -5.445 -3.257 -5.146
Hg -3.630 -2.171 -3.431

=====

(11)
5
Lattice="4.351 0.000 0.000 0.000 4.351 0.000 0.000 0.000 4.351" Properties=species:S:1:pos:R:3 comment="Be3HgMo, optimized geometry, DFT PBE" e_form_kj_per_mol_fu=630 n_ef_per_ev_atom=0.666 e_tot_ry_per_atom=-0.2320 relative_energy_ev_per_atom=0.000 spacegroup="No. 221" pbc="T T T"
Be 0.000 2.175 0.000
Be 0.000 0.000 2.175
Be 2.175 0.000 0.000
Mo 0.000 0.000 0.000
Hg 2.175 2.175 2.175

=====

(12)
3
Lattice="-2.840 -2.868 -1.403 1.122 0.056 4.123 -2.178 1.880 0.567" Properties=species:S:1:pos:R:3 comment="BeHgMo, optimized geometry, DFT PBE" e_form_kj_per_mol_fu=174 n_ef_per_ev_atom=0.844 e_tot_ry_per_atom=-0.3198 relative_energy_ev_per_atom=0.145 spacegroup="No. 187" pbc="T T T"
Be -0.363 0.313 0.095
Mo -1.651 0.335 2.659
Hg -1.882 -1.580 0.534

=====

(13)
3
Lattice="-2.460 -4.037 -4.258 -2.222 -5.518 -1.892 -2.749 0.541 -0.025" Properties=species:S:1:pos:R:3 comment="BeHgMo, optimized geometry, DFT PBE" e_form_kj_per_mol_fu=137 n_ef_per_ev_atom=0.394 e_tot_ry_per_atom=-0.3293 relative_energy_ev_per_atom=0.015 spacegroup="No. 42" pbc="T T T"
Be -2.763 0.466 -0.070
Mo -4.000 -5.991 -3.988
Hg -3.417 -2.947 -2.141

=====

(14)
4
Lattice="-2.595 -1.107 0.512 -0.048 -1.110 -2.643 2.752 -5.421 2.226" Properties=species:S:1:pos:R:3 comment="Be2HgMo, optimized geometry, DFT PBE" e_form_kj_per_mol_fu=130 n_ef_per_ev_atom=0.300 e_tot_ry_per_atom=-0.3168 spacegroup="No. 99" pbc="T T T"
Be 0.110 -0.218 0.089
Be -0.790 -2.155 -0.636
Mo 0.897 -5.479 0.729
Hg 1.268 -2.497 1.025

=====

(15)
5
Lattice="-3.265 2.700 -0.695 -2.056 -1.610 3.407 1.882 2.924 2.517" Properties=species:S:1:pos:R:3 comment="Be3HgMo, optimized geometry, DFT PBE" e_form_kj_per_mol_fu=648 n_ef_per_ev_atom=0.456 e_tot_ry_per_atom=-0.2292 relative_energy_ev_per_atom=0.038 spacegroup="No. 221" pbc="T T T"
Be -1.028 -0.805 1.704
Be 0.941 1.462 1.259
Be -1.632 1.350 -0.347
Mo -1.719 2.007 2.615
Hg 0.000 0.000 0.000